Entry one
Density functional theory data (GGA-PBE) for a relaxed LiInBiPb crystal.

a b c (Å): 7.686 7.686 7.686
angles (deg): 90.00 90.00 90.00
Space group F-43m (No. 216)
Symmetry-distinct sites (fractional):
Li 0.000 0.000 0.000
In 0.250 0.250 0.250
Bi 0.250 0.250 0.750
Pb 0.000 0.000 0.500

***

Entry two
Density functional theory data (GGA-PBE) for a relaxed LiInBiPb crystal.

a b c (Å): 4.657 4.774 4.933
angles (deg): 90.00 90.00 90.00
Space group Pmmm (No. 47)
Symmetry-distinct sites (fractional):
Li 0.000 0.000 0.000
In 0.000 0.500 0.500
Bi 0.500 0.500 0.000
Pb 0.500 0.000 0.500

***

Most stable: entry two (next structure +0.083 eV/atom)

***

Entry one
Density functional theory data (GGA-PBE) for a relaxed Lu2InBi crystal.

a b c (Å): 4.1174 4.1174 24.2459
angles (deg): 90.00 90.00 120.00
Space group R-3m (No. 166, hexagonal axes)
Symmetry-distinct sites (fractional):
Lu 0.0000 0.0000 0.2455
In 0.0000 0.0000 0.0000
Bi 0.0000 0.0000 0.5000

***

Entry two
Density functional theory data (GGA-PBE) for a relaxed Lu2InBi crystal.

a b c (Å): 7.565 7.565 7.565
angles (deg): 90.00 90.00 90.00
Space group Fm-3m (No. 225)
Symmetry-distinct sites (fractional):
Lu 0.250 0.250 0.250
In 0.000 0.000 0.000
Bi 0.000 0.000 0.500

***

Most stable: entry one (next structure +0.036 eV/atom)

***

Entry one
Density functional theory data (GGA-PBE) for a relaxed Mg3InBi crystal.

a b c (Å): 5.317 5.317 5.317
angles (deg): 90.00 90.00 90.00
Space group Pm-3m (No. 221)
Symmetry-distinct sites (fractional):
Mg 0.000 0.000 0.500
In 0.000 0.000 0.000
Bi 0.500 0.500 0.500

***

Entry two
Density functional theory data (GGA-PBE) for a relaxed Mg3InBi crystal.

a b c (Å): 5.500 6.522 7.625
angles (deg): 103.22 99.51 104.80
Space group P-1 (No. 2)
Symmetry-distinct sites (fractional):
Mg 0.023 0.253 0.006
Mg 0.228 0.646 0.406
Mg 0.415 0.071 0.797
In 0.173 0.103 0.377
Bi 0.365 0.571 0.789

***

Entry three
Density functional theory data (GGA-PBE) for a relaxed Mg3InBi crystal.

a b c (Å): 4.421 6.398 9.118
angles (deg): 90.00 104.00 90.00
Space group P2_1/m (No. 11)
Symmetry-distinct sites (fractional):
Mg 0.095 0.003 0.189
Mg 0.308 0.750 0.614
In 0.490 0.750 0.985
Bi 0.313 0.250 0.629

***

Most stable: entry three (next structure +0.020 eV/atom)

***

Entry one
Density functional theory data (GGA-PBE) for a relaxed MgIn2Bi2 crystal.

a b c (Å): 7.835 7.835 5.135
angles (deg): 90.00 90.00 90.00
Space group P4/mbm (No. 127)
Symmetry-distinct sites (fractional):
Mg 0.000 0.000 0.000
In 0.170 0.330 0.500
Bi 0.141 0.641 0.000

***

Entry two
Density functional theory data (GGA-PBE) for a relaxed MgIn2Bi2 crystal.

a b c (Å): 4.895 4.993 7.707
angles (deg): 72.48 71.86 61.36
Space group P1 (No. 1)
Symmetry-distinct sites (fractional):
Mg 0.000 0.000 0.000
In 0.463 0.420 0.635
In 0.862 0.818 0.439
Bi 0.256 0.218 0.258
Bi 0.710 0.695 0.880

***

Entry three
Density functional theory data (GGA-PBE) for a relaxed MgIn2Bi2 crystal.

a b c (Å): 4.208 4.208 17.222
angles (deg): 90.00 90.00 90.00
Space group I4/mmm (No. 139)
Symmetry-distinct sites (fractional):
Mg 0.000 0.000 0.000
In 0.000 0.500 0.250
Bi 0.000 0.000 0.411

***

Entry four
Density functional theory data (GGA-PBE) for a relaxed MgIn2Bi2 crystal.

a b c (Å): 8.426 8.426 4.131
angles (deg): 90.00 90.00 90.00
Space group P4/mbm (No. 127)
Symmetry-distinct sites (fractional):
Mg 0.000 0.000 0.000
In 0.139 0.361 0.000
Bi 0.159 0.659 0.500

***

Most stable: entry two (next structure +0.059 eV/atom)